Entry 1:
An optimized crystal structure of NaPm2Lu, computed with PBE.

## Properties
- calculated formation energy (eV/f.u.) = 0.44
- ΔE to the lowest computed polymorph (meV/atom) = 0
- calculated density (g/cm3) = 6.1

a = 3.5054 Å, b = 3.5054 Å, c = 10.8788 Å
α = 90.00°, β = 90.00°, γ = 90.00°
Space group P4/mmm (No. 123)
One atom of each set of equivalent atoms:
Na1 0.0000 0.0000 0.0000 (multiplicity 1)
Pm1 0.5000 0.5000 0.2686 (multiplicity 2)
Lu1 0.0000 0.0000 0.5000 (multiplicity 1)

=====

Entry 2:
An optimized crystal structure of WAuBr2, computed with PBE.

## Properties
- raw formation energy (kJ/mol of atoms) = 39
- ΔE to the lowest computed polymorph (meV/atom) = 184
- calculated density (g/cm3) = 9.8

a = 3.1524 Å, b = 3.1524 Å, c = 31.8823 Å
α = 90.00°, β = 90.00°, γ = 120.00°
Space group R-3m (No. 166, hexagonal axes)
One atom of each set of equivalent atoms:
W1 0.0000 0.0000 0.0000 (multiplicity 3)
Au1 0.0000 0.0000 0.5000 (multiplicity 3)
Br1 0.0000 0.0000 0.3928 (multiplicity 6)

=====

Entry 3:
An optimized crystal structure of GaIr2, computed with PBE.

## Properties
- calculated formation energy (eV/f.u.) = -0.58
- calculated density (g/cm3) = 17.1

a = 13.5685 Å, b = 2.8151 Å, c = 4.6920 Å
α = 90.00°, β = 100.24°, γ = 90.00°
Space group Cm (No. 8)
One atom of each set of equivalent atoms:
Ga1 0.0000 0.0000 0.0000 (multiplicity 2)
Ga2 0.1878 0.5000 0.8687 (multiplicity 2)
Ir1 0.0161 0.5000 0.5148 (multiplicity 2)
Ir2 0.1687 0.0000 0.3400 (multiplicity 2)
Ir3 0.3424 0.5000 0.3151 (multiplicity 2)
Ir4 0.3445 0.0000 0.7936 (multiplicity 2)

=====

Entry 4:
An optimized crystal structure of K3USn2S6, computed with PBE.

## Properties
- raw formation energy (kJ/mol of atoms) = -105
- calculated density (g/cm3) = 4.0

a = 7.2783 Å, b = 12.6025 Å, c = 7.5926 Å
α = 90.00°, β = 108.68°, γ = 90.00°
Space group C2/m (No. 12)
One atom of each set of equivalent atoms:
K1 0.0000 0.0000 0.0000 (multiplicity 2)
K2 0.0000 0.3263 0.0000 (multiplicity 4)
U1 0.0000 0.5000 0.5000 (multiplicity 2)
Sn1 0.0000 0.1655 0.5000 (multiplicity 4)
S1 0.2202 0.3470 0.7014 (multiplicity 8)
S2 0.2377 0.5000 0.2983 (multiplicity 4)

=====

Entry 5:
An optimized crystal structure of TiV2Mo6, computed with PBE.

## Properties
- calculated formation energy (eV/f.u.) = -1.16
- ΔE to the lowest computed polymorph (meV/atom) = 0
- calculated density (g/cm3) = 8.7

a = 4.3901 Å, b = 5.2056 Å, c = 6.8203 Å
α = 109.89°, β = 108.74°, γ = 90.14°
Space group P-1 (No. 2)
One atom of each set of equivalent atoms:
Ti1 0.0000 0.0000 0.0000 (multiplicity 1)
V1 0.1105 0.5644 0.2215 (multiplicity 2)
Mo1 0.2228 0.1161 0.4457 (multiplicity 2)
Mo2 0.3336 0.6686 0.6671 (multiplicity 2)
Mo3 0.4445 0.2277 0.8886 (multiplicity 2)

=====

Entry 6:
An optimized crystal structure of NaZrAl, computed with PBE.

## Properties
- calculated formation energy (eV/f.u.) = 1.17
- ΔE to the lowest computed polymorph (meV/atom) = 480
- calculated density (g/cm3) = 3.6

a = 4.9683 Å, b = 4.9683 Å, c = 6.1627 Å
α = 90.00°, β = 90.00°, γ = 120.00°
Space group P6_3/mmc (No. 194)
One atom of each set of equivalent atoms:
Na1 0.3333 0.6667 0.2500 (multiplicity 2)
Zr1 0.3333 0.6667 0.7500 (multiplicity 2)
Al1 0.0000 0.0000 0.0000 (multiplicity 2)

=====

Entry 7:
An optimized crystal structure of BaLa2W, computed with PBE.

## Properties
- calculated formation energy (eV/f.u.) = 2.83
- ΔE to the lowest computed polymorph (meV/atom) = 223
- calculated density (g/cm3) = 7.2

a = 4.0019 Å, b = 4.0019 Å, c = 8.6354 Å
α = 90.00°, β = 90.00°, γ = 90.00°
Space group P4mm (No. 99)
One atom of each set of equivalent atoms:
Ba1 0.0000 0.0000 0.0000 (multiplicity 1)
La1 0.0000 0.0000 0.6038 (multiplicity 1)
La2 0.5000 0.5000 0.3798 (multiplicity 1)
W1 0.5000 0.5000 0.7377 (multiplicity 1)

=====

Entry 8:
An optimized crystal structure of CoMo2Pt, computed with PBE.

## Properties
- calculated formation energy (eV/f.u.) = -0.52
- ΔE to the lowest computed polymorph (meV/atom) = 8
- calculated density (g/cm3) = 13.0

a = 3.7815 Å, b = 3.7815 Å, c = 7.9942 Å
α = 90.00°, β = 90.00°, γ = 90.00°
Space group I4/mmm (No. 139)
One atom of each set of equivalent atoms:
Co1 0.0000 0.0000 0.0000 (multiplicity 2)
Mo1 0.0000 0.5000 0.2500 (multiplicity 4)
Pt1 0.0000 0.0000 0.5000 (multiplicity 2)

=====

Entry 9:
An optimized crystal structure of Sb2SeSI, computed with PBE.

## Properties
- raw formation energy (kJ/mol of atoms) = 86
- ΔE to the lowest computed polymorph (meV/atom) = 202
- calculated density (g/cm3) = 4.8

a = 5.5928 Å, b = 5.5928 Å, c = 5.3446 Å
α = 90.00°, β = 90.00°, γ = 90.00°
Space group P4/mmm (No. 123)
One atom of each set of equivalent atoms:
Sb1 0.0000 0.5000 0.0000 (multiplicity 2)
Se1 0.0000 0.0000 0.0000 (multiplicity 1)
S1 0.5000 0.5000 0.5000 (multiplicity 1)
I1 0.0000 0.0000 0.5000 (multiplicity 1)

=====

Entry 10:
An optimized crystal structure of ScSi4Pt, computed with PBE.

## Properties
- raw formation energy (kJ/mol of atoms) = -5
- calculated density (g/cm3) = 6.4

a = 7.1477 Å, b = 7.1477 Å, c = 7.1477 Å
α = 90.00°, β = 90.00°, γ = 90.00°
Space group F-43m (No. 216)
One atom of each set of equivalent atoms:
Sc1 0.0000 0.0000 0.0000 (multiplicity 4)
Si1 0.1243 0.1243 0.3757 (multiplicity 16)
Pt1 0.2500 0.2500 0.7500 (multiplicity 4)

=====

Entry 11:
An optimized crystal structure of GdTlGa, computed with PBE.

## Properties
- calculated formation energy (eV/f.u.) = -0.78
- ΔE to the lowest computed polymorph (meV/atom) = 104
- calculated density (g/cm3) = 9.0

a = 6.8378 Å, b = 6.8378 Å, c = 6.8378 Å
α = 90.00°, β = 90.00°, γ = 90.00°
Space group F-43m (No. 216)
One atom of each set of equivalent atoms:
Gd1 0.0000 0.0000 0.0000 (multiplicity 4)
Tl1 0.0000 0.0000 0.5000 (multiplicity 4)
Ga1 0.2500 0.2500 0.2500 (multiplicity 4)

=====

Entry 12:
An optimized crystal structure of SbTe2W, computed with PBE.

## Properties
- raw formation energy (kJ/mol of atoms) = 58
- calculated density (g/cm3) = 9.3

a = 3.4000 Å, b = 5.3543 Å, c = 11.0080 Å
α = 90.00°, β = 90.00°, γ = 90.00°
Space group Cmmm (No. 65)
One atom of each set of equivalent atoms:
Sb1 0.0000 0.0000 0.0000 (multiplicity 2)
Te1 0.0000 0.5000 0.3000 (multiplicity 4)
W1 0.0000 0.0000 0.5000 (multiplicity 2)

=====

Entry 13:
An optimized crystal structure of LiNdEu2, computed with PBE.

## Properties
- calculated formation energy (eV/f.u.) = 0.40
- ΔE to the lowest computed polymorph (meV/atom) = 21
- calculated density (g/cm3) = 5.3

a = 3.7146 Å, b = 3.7146 Å, c = 35.9085 Å
α = 90.00°, β = 90.00°, γ = 120.00°
Space group R-3m (No. 166, hexagonal axes)
One atom of each set of equivalent atoms:
Li1 0.0000 0.0000 0.0000 (multiplicity 3)
Nd1 0.0000 0.0000 0.5000 (multiplicity 3)
Eu1 0.0000 0.0000 0.2538 (multiplicity 6)

=====

Entry 14:
An optimized crystal structure of CsScTi2Cr, computed with PBE.

## Properties
- calculated formation energy (eV/f.u.) = 4.58
- calculated density (g/cm3) = 4.5

a = 4.6828 Å, b = 4.6828 Å, c = 5.4856 Å
α = 90.00°, β = 90.00°, γ = 90.00°
Space group P4/mmm (No. 123)
One atom of each set of equivalent atoms:
Cs1 0.0000 0.0000 0.0000 (multiplicity 1)
Sc1 0.5000 0.5000 0.0000 (multiplicity 1)
Ti1 0.0000 0.5000 0.5000 (multiplicity 2)
Cr1 0.5000 0.5000 0.5000 (multiplicity 1)

=====

Entry 15:
An optimized crystal structure of LiDy2Au, computed with PBE.

## Properties
- calculated formation energy (eV/f.u.) = -1.67
- calculated density (g/cm3) = 9.4

a = 5.0460 Å, b = 5.0460 Å, c = 3.6774 Å
α = 90.00°, β = 90.00°, γ = 90.00°
Space group P4/mmm (No. 123)
One atom of each set of equivalent atoms:
Li1 0.0000 0.0000 0.0000 (multiplicity 1)
Dy1 0.0000 0.5000 0.5000 (multiplicity 2)
Au1 0.5000 0.5000 0.0000 (multiplicity 1)

=====

Entry 16:
An optimized crystal structure of CaNdI2, computed with PBE.

## Properties
- raw formation energy (kJ/mol of atoms) = -78
- calculated density (g/cm3) = 4.7

a = 4.1167 Å, b = 4.1167 Å, c = 31.6097 Å
α = 90.00°, β = 90.00°, γ = 120.00°
Space group R-3m (No. 166, hexagonal axes)
One atom of each set of equivalent atoms:
Ca1 0.0000 0.0000 0.0000 (multiplicity 3)
Nd1 0.0000 0.0000 0.5000 (multiplicity 3)
I1 0.0000 0.0000 0.3967 (multiplicity 6)

=====

Entry 17:
An optimized crystal structure of HfTaCo4, computed with PBE.

## Properties
- calculated formation energy (eV/f.u.) = -1.69
- calculated density (g/cm3) = 12.6

a = 6.7995 Å, b = 6.7995 Å, c = 6.7995 Å
α = 90.00°, β = 90.00°, γ = 90.00°
Space group F-43m (No. 216)
One atom of each set of equivalent atoms:
Hf1 0.0000 0.0000 0.0000 (multiplicity 4)
Ta1 0.2500 0.2500 0.7500 (multiplicity 4)
Co1 0.1251 0.1251 0.3749 (multiplicity 16)

=====

Entry 18:
An optimized crystal structure of Li2Bi2Pd, computed with PBE.

## Properties
- calculated formation energy (eV/f.u.) = -1.61
- ΔE to the lowest computed polymorph (meV/atom) = 47
- calculated density (g/cm3) = 7.6

a = 7.2424 Å, b = 7.2424 Å, c = 4.4730 Å
α = 90.00°, β = 90.00°, γ = 90.00°
Space group P4/mbm (No. 127)
One atom of each set of equivalent atoms:
Li1 0.1545 0.3455 0.0000 (multiplicity 4)
Bi1 0.1507 0.6507 0.5000 (multiplicity 4)
Pd1 0.0000 0.0000 0.5000 (multiplicity 2)

=====

Entry 19:
An optimized crystal structure of TcW2Au, computed with PBE.

## Properties
- calculated formation energy (eV/f.u.) = 1.54
- ΔE to the lowest computed polymorph (meV/atom) = 167
- calculated density (g/cm3) = 16.8

a = 3.3720 Å, b = 3.3720 Å, c = 5.7473 Å
α = 90.00°, β = 90.00°, γ = 90.00°
Space group P4/mmm (No. 123)
One atom of each set of equivalent atoms:
Tc1 0.0000 0.0000 0.0000 (multiplicity 1)
W1 0.5000 0.5000 0.2250 (multiplicity 2)
Au1 0.0000 0.0000 0.5000 (multiplicity 1)

=====

Entry 20:
An optimized crystal structure of ReBiAs2S, computed with PBE.

## Properties
- raw formation energy (kJ/mol of atoms) = 89
- calculated density (g/cm3) = 8.7

a = 5.0061 Å, b = 5.0061 Å, c = 4.3765 Å
α = 90.00°, β = 90.00°, γ = 90.00°
Space group P4/mmm (No. 123)
One atom of each set of equivalent atoms:
Re1 0.0000 0.0000 0.0000 (multiplicity 1)
Bi1 0.5000 0.5000 0.0000 (multiplicity 1)
As1 0.0000 0.5000 0.5000 (multiplicity 2)
S1 0.0000 0.0000 0.5000 (multiplicity 1)

=====

Entry 21:
An optimized crystal structure of Ca3PdPt, computed with PBE.

## Properties
- calculated formation energy (eV/f.u.) = -3.29
- ΔE to the lowest computed polymorph (meV/atom) = 58
- calculated density (g/cm3) = 5.4

a = 10.9275 Å, b = 11.1031 Å, c = 8.5254 Å
α = 90.00°, β = 91.87°, γ = 90.00°
Space group C2/c (No. 15)
One atom of each set of equivalent atoms:
Ca1 0.0589 0.1273 0.0761 (multiplicity 8)
Ca2 0.1137 0.4183 0.9160 (multiplicity 8)
Ca3 0.2402 0.1810 0.6733 (multiplicity 8)
Pd1 0.0000 0.1015 0.7500 (multiplicity 4)
Pd2 0.0000 0.3701 0.2500 (multiplicity 4)
Pt1 0.2074 0.0479 0.3604 (multiplicity 8)

=====

Entry 22:
An optimized crystal structure of AgSe2Br6, computed with PBE.

## Properties
- raw formation energy (kJ/mol of atoms) = -12
- ΔE to the lowest computed polymorph (meV/atom) = 0
- calculated density (g/cm3) = 3.1

a = 17.9888 Å, b = 12.6999 Å, c = 7.7820 Å
α = 90.00°, β = 115.53°, γ = 90.00°
Space group C2/c (No. 15)
One atom of each set of equivalent atoms:
Ag1 0.0000 0.0001 0.2500 (multiplicity 4)
Se1 0.2251 0.1368 0.2251 (multiplicity 8)
Br1 0.0469 0.1342 0.0467 (multiplicity 8)
Br2 0.1370 0.3014 0.6378 (multiplicity 8)
Br3 0.2289 0.0004 0.4786 (multiplicity 8)

=====

Entry 23:
An optimized crystal structure of ReGeI2O, computed with PBE.

## Properties
- raw formation energy (kJ/mol of atoms) = 82
- ΔE to the lowest computed polymorph (meV/atom) = 747
- calculated density (g/cm3) = 6.8

a = 5.9027 Å, b = 5.9027 Å, c = 3.7113 Å
α = 90.00°, β = 90.00°, γ = 90.00°
Space group P4/mmm (No. 123)
One atom of each set of equivalent atoms:
Re1 0.0000 0.0000 0.0000 (multiplicity 1)
Ge1 0.5000 0.5000 0.5000 (multiplicity 1)
I1 0.0000 0.5000 0.5000 (multiplicity 2)
O1 0.5000 0.5000 0.0000 (multiplicity 1)

=====

Entry 24:
An optimized crystal structure of Ca3Ni2As3, computed with PBE.

## Properties
- calculated formation energy (eV/f.u.) = -6.81
- ΔE to the lowest computed polymorph (meV/atom) = 0
- calculated density (g/cm3) = 4.8

a = 4.1968 Å, b = 10.7350 Å, c = 14.1691 Å
α = 90.00°, β = 90.00°, γ = 90.00°
Space group Cmcm (No. 63)
One atom of each set of equivalent atoms:
Ca1 0.0000 0.0810 0.1074 (multiplicity 8)
Ca2 0.0000 0.3599 0.2500 (multiplicity 4)
Ni1 0.0000 0.2156 0.5956 (multiplicity 8)
As1 0.0000 0.3354 0.7500 (multiplicity 4)
As2 0.0000 0.3627 0.0412 (multiplicity 8)

=====

Entry 25:
An optimized crystal structure of SrTe2NCl, computed with PBE.

## Properties
- raw formation energy (kJ/mol of atoms) = 49
- ΔE to the lowest computed polymorph (meV/atom) = 0
- calculated density (g/cm3) = 4.7

a = 5.6538 Å, b = 5.6538 Å, c = 4.3251 Å
α = 90.00°, β = 90.00°, γ = 90.00°
Space group P4/mmm (No. 123)
One atom of each set of equivalent atoms:
Sr1 0.0000 0.0000 0.0000 (multiplicity 1)
Te1 0.0000 0.5000 0.5000 (multiplicity 2)
N1 0.5000 0.5000 0.0000 (multiplicity 1)
Cl1 0.5000 0.5000 0.5000 (multiplicity 1)

=====

Table of E (hartree per atom), in record order: -0.137, -0.165, -0.261, -0.185, -0.377, -0.152, -0.201, -0.325, -0.095, -0.211, -0.248, -0.192, -0.247, -0.206, -0.148, -0.120, -0.318, -0.135, -0.349, -0.185, -0.151, -0.085, -0.153, -0.176, -0.115